Below is a relaxed structure of AgSbAs2, with properties calculated at the PBE level.

## Properties
**Density of states at the Fermi level**: 0.391 states/eV/atom
**Space group**: Pm, No. 6
**Formation energy from raw total energies**: 0.17 eV/atom
**Offset from the most stable computed form**: 50 meV/atom

Lattice parameters (Å, degrees): 3.882 2.950 7.730 90.02 90.00 90.00
Atoms (fractional coordinates):
Sb (0.000, 0.249, 0.517)
Ag (0.500, 0.755, 0.761)
As (0.000, 0.249, 0.994)
As (0.500, 0.247, 0.228)



Below is a relaxed structure of AgSbAs2, with properties calculated at the PBE level.

## Properties
**Density of states at the Fermi level**: 0.016 states/eV/atom
**Space group**: I-42d, No. 122
**Formation energy from raw total energies**: 0.15 eV/atom
**Offset from the most stable computed form**: 22 meV/atom

Lattice parameters (Å, degrees): 6.142 6.142 7.418 65.54 65.54 90.00
Atoms (fractional coordinates):
As (0.875, 0.864, 0.750)
As (0.136, 0.625, 0.250)
As (0.375, 0.386, 0.750)
As (0.614, 0.125, 0.250)
Ag (0.250, 0.750, 0.500)
Ag (0.500, 0.500, 0.000)
Sb (0.000, 0.000, 0.000)
Sb (0.750, 0.250, 0.500)



Question: Number 1 is which compound?
Answer: AgSbAs2